Record 1
VASP calculation (PBE) on Sc2TaCu2 after structural relaxation.

Geometry as POSCAR:
```
Sc2TaCu2
1.0
-1.136 -0.226 7.337
3.105 -6.743 0.273
2.846 1.330 0.482
Cu Sc Ta
4 4 2
Cartesian
0.945 -4.409 6.594 Cu
-0.323 -0.981 4.617 Cu
1.024 -2.560 1.017 Cu
2.292 -5.988 2.994 Cu
1.587 -0.572 2.691 Sc
3.228 -5.066 5.401 Sc
1.500 -1.730 6.402 Sc
3.315 -3.908 1.690 Sc
0.000 0.000 0.000 Ta
0.984 -3.484 3.805 Ta
```

## Properties
total magnetic moment	0.00	μB/atom
formation energy	3	meV/atom
DOS at the Fermi energy	10.08	states/eV/cell
SG	No. 127

***

Record 2
VASP calculation (PBE) on Nd3Zn3Pt after structural relaxation.

Geometry as POSCAR:
```
Nd3Zn3Pt
1.0
-2.176 -0.567 -3.943
3.101 1.103 -1.870
2.624 -9.568 2.539
Zn Nd Pt
3 3 1
Cartesian
2.399 -2.004 -1.036 Zn
1.141 -6.998 -2.236 Zn
0.873 -0.969 -2.955 Zn
3.509 -8.911 -3.268 Nd
0.091 -3.834 -2.112 Nd
3.508 -5.346 -1.167 Nd
2.677 -8.064 -0.318 Pt
```

## Properties
total magnetic moment	0.00	μB/atom
formation energy	-532	meV/atom
DOS at the Fermi energy	5.39	states/eV/cell
SG	No. 44

***

Record 3
VASP calculation (PBE) on AlGa3Ag2 after structural relaxation.

Geometry as POSCAR:
```
AlGa3Ag2
1.0
-1.185 2.965 -0.379
1.048 -0.193 -4.788
-6.775 -2.562 1.134
Ag Al Ga
2 1 3
Cartesian
-4.067 -1.730 -0.820 Ag
-1.660 -1.026 -2.835 Ag
0.000 0.000 0.000 Al
-0.068 1.386 -2.584 Ga
-4.325 -0.425 -3.442 Ga
-2.587 0.634 -0.592 Ga
```

## Properties
total magnetic moment	0.00	μB/atom
formation energy	69	meV/atom
DOS at the Fermi energy	2.27	states/eV/cell
ΔE to the lowest computed polymorph	0.043	eV/atom
SG	No. 65

***

Record 4
VASP calculation (PBE) on CaHf2Cl after structural relaxation.

Geometry as POSCAR:
```
CaHf2Cl
1.0
-4.349 -0.713 -2.876
0.529 -5.213 0.492
-6.910 -2.762 6.319
Cl Ca Hf
2 2 4
Cartesian
-4.145 -5.469 2.809 Cl
-1.910 -2.963 -1.192 Cl
-6.585 -3.219 1.125 Ca
0.000 0.000 0.000 Ca
-3.106 -1.579 0.686 Hf
-3.214 -4.246 0.685 Hf
-6.460 -5.820 3.989 Hf
-8.680 -5.729 2.509 Hf
```

## Properties
total magnetic moment	0.00	μB/atom
DOS at the Fermi energy	9.78	states/eV/cell
ΔE to the lowest computed polymorph	0.000	eV/atom
SG	No. 122

***

Record 5
VASP calculation (PBE) on Y3Hg2Pd4 after structural relaxation.

Geometry as POSCAR:
```
Y3Hg2Pd4
1.0
4.360 0.001 0.001
-2.179 4.849 0.406
0.002 -0.639 9.279
Pd Hg Y
4 2 3
Cartesian
2.180 3.889 3.874 Pd
2.180 1.882 0.945 Pd
0.003 0.322 5.811 Pd
0.003 2.329 8.740 Pd
0.000 3.129 2.303 Hg
2.183 1.083 7.382 Hg
0.002 3.164 6.018 Y
2.181 1.047 3.667 Y
0.000 0.000 0.000 Y
```

## Properties
total magnetic moment	0.00	μB/atom
formation energy	-680	meV/atom
DOS at the Fermi energy	3.85	states/eV/cell
SG	No. 12

***

Record 6
VASP calculation (PBE) on Sr2ScIn2 after structural relaxation.

Geometry as POSCAR:
```
Sr2ScIn2
1.0
8.007 0.000 0.000
0.000 8.007 0.000
0.000 0.000 5.250
In Sr Sc
4 4 2
Cartesian
6.928 5.083 0.000 In
1.079 2.925 0.000 In
5.083 1.079 0.000 In
2.925 6.928 0.000 In
1.370 5.374 2.625 Sr
6.637 2.633 2.625 Sr
5.374 6.637 2.625 Sr
2.633 1.370 2.625 Sr
4.004 4.004 0.000 Sc
0.000 0.000 0.000 Sc
```

## Properties
total magnetic moment	0.16	μB/atom
formation energy	-216	meV/atom
DOS at the Fermi energy	10.62	states/eV/cell
SG	No. 127

***

Record 7
VASP calculation (PBE) on AlCuSnSe4 after structural relaxation.

Geometry as POSCAR:
```
AlCuSnSe4
1.0
6.934 0.002 0.000
2.322 6.533 0.000
-4.628 -3.267 3.998
Se Sn Al Cu
4 1 1 1
Cartesian
3.457 2.427 2.169 Se
-1.184 -0.822 1.829 Se
2.429 -0.940 3.987 Se
4.554 5.871 0.011 Se
4.628 3.267 0.000 Sn
3.467 0.001 1.999 Al
1.161 3.267 1.999 Cu
```

## Properties
total magnetic moment	0.00	μB/atom
ΔE to the lowest computed polymorph	0.000	eV/atom
SG	No. 82

***

Record 8
VASP calculation (PBE) on CdAgAu2 after structural relaxation.

Geometry as POSCAR:
```
CdAgAu2
1.0
5.136 -0.001 -0.001
1.679 4.854 0.001
-3.401 -2.436 2.980
Cd Au Ag
1 2 1
Cartesian
2.571 -0.005 1.490 Cd
3.407 2.427 0.000 Au
0.000 0.000 0.000 Au
0.843 2.422 1.490 Ag
```

## Properties
total magnetic moment	0.00	μB/atom
formation energy	-122	meV/atom
DOS at the Fermi energy	1.24	states/eV/cell
SG	No. 71

***

Record 9
VASP calculation (PBE) on U2CN after structural relaxation.

Geometry as POSCAR:
```
U2CN
1.0
5.907 0.000 0.000
4.867 3.348 0.000
4.867 1.513 2.987
N C U
1 1 2
Cartesian
7.820 2.431 1.494 N
0.000 0.000 0.000 C
11.751 3.652 2.244 U
3.890 1.209 0.743 U
```

## Properties
total magnetic moment	0.32	μB/atom
DOS at the Fermi energy	8.56	states/eV/cell
ΔE to the lowest computed polymorph	0.006	eV/atom
SG	No. 166

***

Record 10
VASP calculation (PBE) on Ta3TiMn after structural relaxation.

Geometry as POSCAR:
```
Ta3TiMn
1.0
-1.634 -1.715 3.936
-1.512 -3.712 -2.245
4.019 -2.094 0.755
Ta Mn Ti
3 1 1
Cartesian
-0.756 -1.856 -1.123 Ta
-0.817 -0.858 1.968 Ta
2.009 -1.047 0.378 Ta
0.000 0.000 0.000 Mn
0.436 -3.761 1.223 Ti
```

## Properties
total magnetic moment	0.00	μB/atom
formation energy	766	meV/atom
DOS at the Fermi energy	6.02	states/eV/cell
ΔE to the lowest computed polymorph	0.000	eV/atom
SG	No. 221

***

Record 11
VASP calculation (PBE) on PaVRu after structural relaxation.

Geometry as POSCAR:
```
PaVRu
1.0
3.639 0.000 0.000
0.000 3.639 0.000
-1.819 -1.819 4.046
Pa V Ru
1 1 1
Cartesian
1.819 1.819 3.700 Pa
0.000 0.000 2.078 V
1.819 1.819 1.100 Ru
```

## Properties
total magnetic moment	0.00	μB/atom
formation energy	-7	meV/atom
DOS at the Fermi energy	3.51	states/eV/cell
ΔE to the lowest computed polymorph	0.017	eV/atom
SG	No. 107

***

Record 12
VASP calculation (PBE) on CaAcTm2 after structural relaxation.

Geometry as POSCAR:
```
CaAcTm2
1.0
-3.209 -0.860 1.778
0.182 -3.506 -1.367
5.320 -2.919 8.190
Ca Ac Tm
1 1 2
Cartesian
1.146 -3.642 4.300 Ca
-1.514 -2.183 0.205 Ac
1.302 -0.715 2.005 Tm
4.017 -2.204 6.185 Tm
```

## Properties
total magnetic moment	0.00	μB/atom
formation energy	132	meV/atom
DOS at the Fermi energy	7.30	states/eV/cell
ΔE to the lowest computed polymorph	0.014	eV/atom
SG	No. 123